1.
A plane-wave DFT calculation with PBE was carried out for a relaxed structure of CsMnAlCo2.

Calculated values
Calculated total energy ... -4.434 eV per atom

Cell and atoms, written as POSCAR:
```
CsMnAlCo2
1.0
4.7159 0.0000 0.0000
0.0000 4.7159 0.0000
0.0000 0.0000 4.7720
Cs Mn Al Co
1 1 1 2
Cartesian
0.0000 0.0000 0.0000
2.3580 2.3580 0.0000
2.3580 2.3580 2.3860
0.0000 2.3580 2.3860
2.3580 0.0000 2.3860
```

---

2.
A plane-wave DFT calculation with PBE was carried out for a relaxed structure of NaCaGdTl.

Calculated values
Calculated total energy ... -5.080 eV per atom

Cell and atoms, written as POSCAR:
```
NaCaGdTl
1.0
7.8144 0.0000 0.0000
0.0000 7.8144 0.0000
0.0000 0.0000 7.8144
Na Ca Gd Tl
4 4 4 4
Cartesian
0.0000 0.0000 0.0000
0.0000 3.9072 3.9072
3.9072 0.0000 3.9072
3.9072 3.9072 0.0000
1.9536 1.9536 1.9536
1.9536 5.8608 5.8608
5.8608 1.9536 5.8608
5.8608 5.8608 1.9536
1.9536 1.9536 5.8608
1.9536 5.8608 1.9536
5.8608 1.9536 1.9536
5.8608 5.8608 5.8608
0.0000 0.0000 3.9072
0.0000 3.9072 0.0000
3.9072 0.0000 0.0000
3.9072 3.9072 3.9072
```

---

3.
A plane-wave DFT calculation with PBE was carried out for a relaxed structure of AcPm2SmP4.

Calculated values
Calculated total energy ... -6.506 eV per atom

Cell and atoms, written as POSCAR:
```
AcPm2SmP4
1.0
7.2901 0.0000 0.0000
0.0000 4.2091 0.0000
-2.4189 0.0000 6.8779
Ac Pm Sm P
1 2 1 4
Cartesian
0.0000 0.0000 0.0000
2.4356 0.0000 3.4390
3.6451 2.1045 0.0000
-1.2094 2.1045 3.4390
0.0542 0.0000 5.1166
1.2654 2.1045 1.7981
3.6058 2.1045 5.0798
4.8170 0.0000 1.7613
```

---

4.
A plane-wave DFT calculation with PBE was carried out for a relaxed structure of Zn2AsAu.

Calculated values
Calculated total energy ... -2.622 eV per atom

Cell and atoms, written as POSCAR:
```
Zn2AsAu
1.0
2.9455 0.0000 0.0000
0.0000 3.9337 0.0000
0.0000 0.0000 12.8154
Zn As Au
4 2 2
Cartesian
0.0000 0.0000 0.0000
0.0000 1.9669 3.4541
1.4727 0.0000 9.8618
1.4727 1.9669 6.4077
0.0000 1.9669 8.6960
1.4727 0.0000 2.2883
0.0000 0.0000 5.3626
1.4727 1.9669 11.7703
```